1.
DFT (meta-GGA SCAN) results for a PBEsol-optimized structure of Li3V2F12.

Cell lengths 4.8415, 8.6557, 9.4048 Å; angles 90.00, 90.14, 90.00 degrees
Last column: nearest neighbours and their distance in Å.
Space group Pc (No. 7)
Asymmetric unit:
Li 0.0000 0.1403 0.0000 [2 per cell]  6 F 1.93-2.14
Li 0.0258 0.2063 0.6975 [2 per cell]  4 F 1.86-2.03
Li 0.4965 0.3604 0.2133 [2 per cell]  6 F 1.94-2.14
V 0.0026 0.4921 0.9612 [2 per cell]  6 F 1.78-1.86
V 0.5019 0.0078 0.2402 [2 per cell]  6 F 1.77-1.86
F 0.1467 0.3565 0.5699 [2 per cell]  1 V 1.80, 1 Li 1.86
F 0.1795 0.3452 0.0730 [2 per cell]  1 V 1.86, 1 Li 2.03
F 0.2044 0.0057 0.6148 [2 per cell]  1 V 1.86, 1 Li 1.93
F 0.2926 0.5000 0.3435 [2 per cell]  1 V 1.79, 1 Li 1.99
F 0.3032 0.1329 0.8441 [2 per cell]  1 V 1.84, 1 Li 2.03
F 0.3476 0.1683 0.3258 [2 per cell]  1 V 1.77
F 0.6670 0.1408 0.6368 [2 per cell]  1 V 1.80, 1 Li 1.91
F 0.6773 0.1543 0.1288 [2 per cell]  1 V 1.85, 1 Li 1.98
F 0.7108 0.4799 0.0780 [2 per cell]  1 V 1.79, 1 Li 1.94
F 0.7862 0.0048 0.8637 [2 per cell]  1 V 1.80
F 0.8169 0.3773 0.3499 [2 per cell]  1 V 1.78
F 0.8740 0.3232 0.8610 [2 per cell]  1 V 1.85, 1 Li 1.98

2.
DFT (meta-GGA SCAN) results for a PBEsol-optimized structure of Li2VF4.

Cell lengths 12.0245, 5.4628, 8.9172 Å; angles 90.00, 90.00, 90.00 degrees
Last column: nearest neighbours and their distance in Å.
Space group Pna2_1 (No. 33)
Asymmetric unit:
Li 0.0303 0.1871 0.0000 [4 per cell]  4 F 1.84-1.98
Li 0.0778 0.7831 0.2137 [4 per cell]  3 F 1.84-2.03
Li 0.1790 0.3990 0.8042 [4 per cell]  3 F 1.89-1.94
Li 0.2226 0.8883 0.9968 [4 per cell]  5 F 1.85-2.00
V 0.0615 0.2853 0.3784 [4 per cell]  6 F 2.02-2.17
V 0.1849 0.8523 0.6205 [4 per cell]  6 F 2.03-2.14
F 0.0197 0.8954 0.7042 [4 per cell]  2 Li 1.97-2.11, 2 V 2.08-2.14
F 0.0218 0.4025 0.8223 [4 per cell]  3 Li 1.84-1.98, 1 V 2.04
F 0.0734 0.8046 0.0010 [4 per cell]  2 Li 1.85-1.90, 1 V 2.02
F 0.1095 0.9365 0.4239 [4 per cell]  2 Li 1.93-2.09, 2 V 2.03
F 0.1293 0.5036 0.5514 [4 per cell]  1 Li 1.95, 2 V 2.11
F 0.1814 0.2430 0.9994 [4 per cell]  3 Li 1.84-2.00, 1 V 2.03
F 0.2341 0.2453 0.3103 [4 per cell]  1 Li 1.91, 1 V 2.04
F 0.2390 0.6848 0.1808 [4 per cell]  3 Li 1.89-2.03, 1 V 2.10

Values from the calculation:
offset from the most stable computed form	52	meV/atom

3.
DFT (meta-GGA SCAN) results for a PBEsol-optimized structure of Li4VF7.

Cell lengths 8.2832, 8.2832, 8.2832 Å; angles 90.00, 90.00, 90.00 degrees
Last column: nearest neighbours and their distance in Å.
Space group F-43m (No. 216)
Asymmetric unit:
Li 0.1239 0.1239 0.1239 [16 per cell]  4 F 1.78-1.87
V 0.2500 0.2500 0.7500 [4 per cell]  6 F 1.95
F 0.0000 0.0000 0.0000 [4 per cell]  4 Li 1.78
F 0.0141 0.2500 0.7500 [24 per cell]  2 Li 1.87, 1 V 1.95

4.
DFT (meta-GGA SCAN) results for a PBEsol-optimized structure of LiVF3.

Cell lengths 5.1419, 5.1419, 13.9807 Å; angles 90.00, 90.00, 120.00 degrees
Last column: nearest neighbours and their distance in Å.
Space group R3c (No. 161, hexagonal axes)
Asymmetric unit:
Li 0.0000 0.0000 0.0000 [6 per cell]  3 F 1.91
V 0.0000 0.0000 0.2062 [6 per cell]  6 F 2.06
F 0.0035 0.3134 0.1136 [18 per cell]  1 Li 1.91, 2 V 2.06

Values from the calculation:
offset from the most stable computed form	0	meV/atom

5.
DFT (meta-GGA SCAN) results for a PBEsol-optimized structure of Li4VF8.

Cell lengths 5.0316, 5.9825, 5.1431 Å; angles 90.00, 111.26, 90.00 degrees
Last column: nearest neighbours and their distance in Å.
Space group P2 (No. 3)
Asymmetric unit:
Li 0.0000 0.0000 0.0000 [1 per cell]  4 F 1.87-2.05
Li 0.0000 0.1998 0.5000 [1 per cell]  4 F 1.90-2.07
Li 0.0000 0.7607 0.5000 [1 per cell]  4 F 1.87-2.05
Li 0.5000 0.8143 0.0000 [1 per cell]  2 F 1.84
V 0.0000 0.4894 0.0000 [1 per cell]  6 F 1.83-1.87
F 0.2013 0.9765 0.7581 [2 per cell]  4 Li 1.84-1.90
F 0.2053 0.5083 0.7661 [2 per cell]  1 V 1.85, 1 Li 2.05
F 0.2103 0.2688 0.2295 [2 per cell]  1 V 1.83, 1 Li 2.05
F 0.2369 0.7164 0.2118 [2 per cell]  1 V 1.87, 1 Li 2.08

6.
DFT (meta-GGA SCAN) results for a PBEsol-optimized structure of LiV6F13.

Cell lengths 7.8741, 7.8996, 9.8136 Å; angles 75.73, 75.36, 62.67 degrees
Last column: nearest neighbours and their distance in Å.
Space group P-1 (No. 2)
Asymmetric unit:
Li 0.2290 0.1712 0.0573 [2 per cell]  3 F 1.90-1.93
V 0.0611 0.5578 0.2413 [2 per cell]  6 F 1.99-2.19
V 0.1518 0.0823 0.5026 [2 per cell]  6 F 2.04-2.11
V 0.2791 0.6336 0.5015 [2 per cell]  6 F 2.05-2.07
V 0.3869 0.1676 0.7453 [2 per cell]  6 F 2.05-2.09
V 0.4169 0.7166 0.0225 [2 per cell]  5 F 1.97-2.10
V 0.4917 0.2586 0.2760 [2 per cell]  6 F 2.02-2.13
F 0.0125 0.6615 0.6216 [2 per cell]  3 V 2.07-2.13
F 0.1189 0.9014 0.3969 [2 per cell]  3 V 2.06-2.10
F 0.1539 0.7518 0.1216 [2 per cell]  2 V 1.97-1.99
F 0.1588 0.3314 0.8824 [2 per cell]  1 Li 1.90, 2 V 2.05-2.09
F 0.1634 0.2448 0.6344 [2 per cell]  3 V 2.08-2.09
F 0.2642 0.4730 0.3730 [2 per cell]  3 V 2.03-2.08
F 0.2916 0.8134 0.6158 [2 per cell]  3 V 2.02-2.06
F 0.2996 0.3279 0.1320 [2 per cell]  1 Li 1.91, 1 V 2.13
F 0.3199 0.9413 0.8586 [2 per cell]  3 V 2.07-2.08
F 0.4085 0.9158 0.1266 [2 per cell]  1 Li 1.93, 2 V 2.05-2.06
F 0.4169 0.0397 0.3824 [2 per cell]  3 V 2.04-2.09
F 0.4281 0.5532 0.8781 [2 per cell]  3 V 2.04-2.10
F 0.4558 0.3845 0.6164 [2 per cell]  3 V 2.07

7.
DFT (meta-GGA SCAN) results for a PBEsol-optimized structure of LiVF5.

Cell lengths 7.3799, 5.1859, 9.6860 Å; angles 90.00, 90.00, 90.00 degrees
Last column: nearest neighbours and their distance in Å.
Space group Pnma (No. 62)
Asymmetric unit:
Li 0.0293 0.2500 0.0956 [4 per cell]  6 F 2.01-2.18
V 0.1799 0.7500 0.3578 [4 per cell]  5 F 1.70-1.84
F 0.0157 0.2500 0.5490 [4 per cell]  1 V 1.70
F 0.1488 0.5096 0.2251 [8 per cell]  1 V 1.81
F 0.1605 0.0207 0.9361 [8 per cell]  1 V 1.84, 1 Li 2.01

Values from the calculation:
offset from the most stable computed form	84	meV/atom

8.
DFT (meta-GGA SCAN) results for a PBEsol-optimized structure of Li2VF4.

Cell lengths 5.8189, 6.0951, 8.3465 Å; angles 90.00, 90.00, 90.00 degrees
Last column: nearest neighbours and their distance in Å.
Space group Imma (No. 74)
Asymmetric unit:
Li 0.0000 0.2500 0.1362 [4 per cell]  4 F 1.91
Li 0.2500 0.2500 0.7500 [4 per cell]  6 F 2.03-2.05
V 0.0000 0.0000 0.5000 [4 per cell]  6 F 2.04-2.07
F 0.0000 0.0181 0.7446 [8 per cell]  3 Li 1.91-2.03, 1 V 2.04
F 0.2395 0.2500 0.5039 [8 per cell]  2 Li 1.91-2.05, 2 V 2.07

Values from the calculation:
offset from the most stable computed form	0	meV/atom

9.
DFT (meta-GGA SCAN) results for a PBEsol-optimized structure of Li2VF4.

Cell lengths 4.8942, 9.8024, 3.0286 Å; angles 90.00, 90.00, 90.00 degrees
Last column: nearest neighbours and their distance in Å.
Space group Pbam (No. 55)
Asymmetric unit:
Li 0.0212 0.2128 0.0000 [4 per cell]  4 F 1.90-2.07
V 0.0000 0.5000 0.5000 [2 per cell]  6 F 2.06
F 0.2085 0.4023 0.0000 [4 per cell]  2 Li 1.90-2.07, 2 V 2.06
F 0.2432 0.6714 0.5000 [4 per cell]  2 Li 1.95, 1 V 2.06

Values from the calculation:
offset from the most stable computed form	8	meV/atom

Looking at energy relative to the elements, uncorrected for the records above, in order, we have -3.05; -3.02; -3.13; -3.06; -3.08; -2.95; -3.01; -3.07; -3.06 eV per atom.
Looking at total magnetic moment for the records above, in order, we have 2.000; 24.000; 8.000; 18.000; 1.000; 36.000; 4.000; 12.000; 6.000 μB/cell.